1.
# Th2BiIr

A relaxed Th2BiIr crystal (PBE-GGA, the Alexandria database).

Computed properties:
Energy above the most stable polymorph in this dataset ... 0.000 eV/atom
Volume ... 29.818 Å³ per atom
Raw total energy ... -92.40 eV per cell
Crystal system ... trigonal

```
Th2BiIr
1.0
4.2578 0.0000 0.0000
-2.1289 3.6873 0.0000
0.0000 0.0000 22.7909
Th Bi Ir
6 3 3
Direct
0.0000 0.0000 0.2351
0.0000 0.0000 0.7649
0.3333 0.6667 0.4316
0.3333 0.6667 0.9018
0.6667 0.3333 0.0982
0.6667 0.3333 0.5684
0.0000 0.0000 0.0000
0.3333 0.6667 0.6667
0.6667 0.3333 0.3333
0.0000 0.0000 0.5000
0.3333 0.6667 0.1667
0.6667 0.3333 0.8333
```

2.
# Th2BiIr

A relaxed Th2BiIr crystal (PBE-GGA, the Alexandria database).

Computed properties:
Energy above the most stable polymorph in this dataset ... 0.052 eV/atom
Volume ... 30.247 Å³ per atom
Raw total energy ... -91.78 eV per cell
Crystal system ... trigonal

```
Th2BiIr
1.0
4.2702 0.0000 0.0000
-2.1351 3.6981 0.0000
0.0000 0.0000 22.9837
Th Bi Ir
6 3 3
Direct
0.0000 0.0000 0.0000
0.0000 0.0000 0.1986
0.3333 0.6667 0.6667
0.3333 0.6667 0.8652
0.6667 0.3333 0.3333
0.6667 0.3333 0.5319
0.0000 0.0000 0.4323
0.3333 0.6667 0.0990
0.6667 0.3333 0.7656
0.0000 0.0000 0.5995
0.3333 0.6667 0.2661
0.6667 0.3333 0.9328
```

3.
# Th2Bi2Ir

A relaxed Th2Bi2Ir crystal (PBE-GGA, the Alexandria database).

Computed properties:
Volume ... 30.994 Å³ per atom
Raw total energy ... -68.57 eV per cell
Crystal system ... orthorhombic

```
Th2Bi2Ir
1.0
-3.3775 6.7501 3.3988
3.3775 -6.7501 3.3988
3.3775 6.7501 -3.3988
Th Bi Ir
4 4 2
Direct
0.1175 0.2483 0.3658
0.3825 0.7483 0.1308
0.6175 0.2517 0.8692
0.8825 0.7517 0.6342
0.1365 0.7373 0.8738
0.3635 0.2374 0.6009
0.6365 0.7627 0.3991
0.8635 0.2626 0.1262
0.2500 0.2500 0.0000
0.7500 0.7500 0.0000
```

4.
# TiBiIr3

A relaxed TiBiIr3 crystal (PBE-GGA, the Alexandria database).

Computed properties:
Energy above the most stable polymorph in this dataset ... 0.000 eV/atom
Volume ... 20.418 Å³ per atom
Raw total energy ... -34.07 eV per cell
Crystal system ... cubic

```
TiBiIr3
1.0
4.6737 0.0000 0.0000
0.0000 4.6737 0.0000
0.0000 0.0000 4.6737
Ti Bi Ir
1 1 3
Direct
0.0000 0.0000 0.0000
0.5000 0.5000 0.5000
0.0000 0.0000 0.5000
0.0000 0.5000 0.0000
0.5000 0.0000 0.0000
```

5.
# TiBi3Ir

A relaxed TiBi3Ir crystal (PBE-GGA, the Alexandria database).

Computed properties:
Volume ... 30.239 Å³ per atom
Raw total energy ... -24.11 eV per cell
Crystal system ... cubic

```
TiBi3Ir
1.0
5.3274 0.0000 0.0000
0.0000 5.3274 0.0000
0.0000 0.0000 5.3274
Ti Bi Ir
1 3 1
Direct
0.0000 0.0000 0.0000
0.0000 0.5000 0.5000
0.5000 0.0000 0.5000
0.5000 0.5000 0.0000
0.5000 0.5000 0.5000
```

6.
# TiBiIr

A relaxed TiBiIr crystal (PBE-GGA, the Alexandria database).

Computed properties:
Volume ... 20.419 Å³ per atom
Raw total energy ... -86.77 eV per cell
Crystal system ... monoclinic

```
TiBiIr
1.0
4.6550 0.0000 0.0000
0.0000 4.6501 0.0000
-0.0280 0.0000 11.3200
Ti Bi Ir
4 4 4
Direct
0.2495 0.0000 0.4243
0.2505 0.5000 0.5757
0.7495 0.5000 0.4243
0.7505 0.0000 0.5757
0.2467 0.0000 0.1370
0.2533 0.5000 0.8630
0.7467 0.5000 0.1370
0.7533 0.0000 0.8630
0.2488 0.5000 0.3186
0.2512 0.0000 0.6814
0.7488 0.0000 0.3186
0.7512 0.5000 0.6814
```

7.
# Ti8Bi2Ir

A relaxed Ti8Bi2Ir crystal (PBE-GGA, the Alexandria database).

Computed properties:
Volume ... 19.067 Å³ per atom
Raw total energy ... -80.96 eV per cell
Crystal system ... monoclinic

```
Ti8Bi2Ir
1.0
8.7441 -2.3156 0.0000
8.7441 2.3156 0.0000
-1.6158 0.0000 5.1791
Ti Bi Ir
8 2 1
Direct
0.0172 0.0172 0.2679
0.2386 0.2386 0.1275
0.3533 0.3533 0.7735
0.4208 0.4208 0.3462
0.5792 0.5792 0.6538
0.6467 0.6467 0.2265
0.7614 0.7614 0.8725
0.9828 0.9828 0.7321
0.1758 0.1758 0.5856
0.8242 0.8242 0.4144
0.5000 0.5000 0.0000
```

8.
# Ti2BiIr

A relaxed Ti2BiIr crystal (PBE-GGA, the Alexandria database).

Computed properties:
Volume ... 20.283 Å³ per atom
Raw total energy ... -115.38 eV per cell
Crystal system ... tetragonal

```
Ti2BiIr
1.0
7.3940 0.0000 0.0000
0.0000 7.3940 0.0000
0.0000 0.0000 5.9359
Ti Bi Ir
8 4 4
Direct
0.1977 0.2500 0.1250
0.2500 0.6977 0.3750
0.2500 0.8023 0.8750
0.3023 0.2500 0.6250
0.6977 0.7500 0.6250
0.7500 0.1977 0.8750
0.7500 0.3023 0.3750
0.8023 0.7500 0.1250
0.0000 0.0000 0.5000
0.0000 0.5000 0.7500
0.5000 0.0000 0.2500
0.5000 0.5000 0.0000
0.0000 0.0000 0.0000
0.0000 0.5000 0.2500
0.5000 0.0000 0.7500
0.5000 0.5000 0.5000
```

Number 1: total magnetic moment 0.000 μB per atom. Number 2: total magnetic moment 0.000 μB per atom. Number 3: total magnetic moment 0.000 μB per atom. Number 4: total magnetic moment 0.000 μB per atom. Number 5: total magnetic moment 0.000 μB per atom. Number 6: total magnetic moment 0.000 μB per atom. Number 7: total magnetic moment 0.000 μB per atom. Number 8: total magnetic moment 0.000 μB per atom.